# CsErMgSe3

A geometry-optimized CsErMgSe3 structure (PBE, OQMD).

Geometry as POSCAR:
```
CsErMgSe3
1.0
9.5687 0.0000 0.0000
0.0000 4.2583 0.0000
-3.8038 0.0000 9.7203
Cs Er Mg Se
2 2 2 6
direct
0.2239 0.2500 0.2444
0.7761 0.7500 0.7556
0.3313 0.7500 0.8703
0.6687 0.2500 0.1297
0.0848 0.2500 0.6137
0.9152 0.7500 0.3863
0.1257 0.2500 0.8671
0.1998 0.7500 0.5517
0.4808 0.7500 0.1547
0.5192 0.2500 0.8453
0.8002 0.2500 0.4483
0.8743 0.7500 0.1329
```

**Space group**: P2_1/m (11)
**Energy**: -4.473 eV per atom

=====

# CsErNb

A geometry-optimized CsErNb structure (PBE, OQMD).

Geometry as POSCAR:
```
CsErNb
1.0
0.0000 3.8499 3.8499
3.8499 0.0000 3.8499
3.8499 3.8499 0.0000
Cs Er Nb
1 1 1
direct
0.0000 0.0000 0.0000
0.5000 0.5000 0.5000
0.2500 0.2500 0.2500
```

**Polymorph energy (0 for the lowest one)**: 0.000 eV per atom
**Space group**: F-43m (216)

=====

# CsErNb

A geometry-optimized CsErNb structure (PBE, OQMD).

Geometry as POSCAR:
```
CsErNb
1.0
0.0000 3.5997 3.5997
3.5997 0.0000 3.5997
3.5997 3.5997 0.0000
Cs Er Nb
1 1 1
direct
0.0000 0.0000 0.0000
0.7500 0.7500 0.7500
0.2500 0.2500 0.2500
```

**Polymorph energy (0 for the lowest one)**: 0.426 eV per atom
**Space group**: F-43m (216)

=====

# Cs2ErNbS4

A geometry-optimized Cs2ErNbS4 structure (PBE, OQMD).

Geometry as POSCAR:
```
Cs2ErNbS4
1.0
3.8789 0.0000 0.0000
-1.9394 3.3592 0.0000
0.0000 0.0000 15.9335
Cs Er Nb S
2 1 1 4
direct
0.3333 0.6667 0.2572
0.6667 0.3333 0.7428
0.0000 0.0000 0.0000
0.0000 0.0000 0.5000
0.3333 0.6667 0.5839
0.3333 0.6667 0.9046
0.6667 0.3333 0.0954
0.6667 0.3333 0.4161
```

**Space group**: P-3m1 (164)
**Energy**: -5.458 eV per atom

=====

# Cs2ErNbSe4

A geometry-optimized Cs2ErNbSe4 structure (PBE, OQMD).

Geometry as POSCAR:
```
Cs2ErNbSe4
1.0
4.1446 0.0000 0.0000
-2.0723 3.5893 0.0000
0.0000 0.0000 16.3352
Cs Er Nb Se
2 1 1 4
direct
0.3333 0.6667 0.2573
0.6667 0.3333 0.7427
0.0000 0.0000 0.0000
0.0000 0.0000 0.5000
0.3333 0.6667 0.5823
0.3333 0.6667 0.9039
0.6667 0.3333 0.0961
0.6667 0.3333 0.4177
```

**Space group**: P-3m1 (164)
**Energy**: -5.019 eV per atom

=====

# Cs2NdErO4

A geometry-optimized Cs2NdErO4 structure (PBE, OQMD).

Geometry as POSCAR:
```
Cs2NdErO4
1.0
3.5758 0.0000 0.0000
-1.7879 3.0967 0.0000
0.0000 0.0000 13.5986
Cs Nd Er O
2 1 1 4
direct
0.3333 0.6667 0.2464
0.6667 0.3333 0.7536
0.0000 0.0000 0.5000
0.0000 0.0000 0.0000
0.3333 0.6667 0.5897
0.3333 0.6667 0.9203
0.6667 0.3333 0.0797
0.6667 0.3333 0.4103
```

**Space group**: P-3m1 (164)
**Energy**: -6.416 eV per atom

=====

# Cs2NdErS4

A geometry-optimized Cs2NdErS4 structure (PBE, OQMD).

Geometry as POSCAR:
```
Cs2NdErS4
1.0
4.1490 0.0000 0.0000
-2.0745 3.5931 0.0000
0.0000 0.0000 16.1065
Cs Nd Er S
2 1 1 4
direct
0.3333 0.6667 0.2467
0.6667 0.3333 0.7533
0.0000 0.0000 0.5000
0.0000 0.0000 0.0000
0.3333 0.6667 0.5966
0.3333 0.6667 0.9119
0.6667 0.3333 0.0881
0.6667 0.3333 0.4034
```

**Space group**: P-3m1 (164)
**Energy**: -5.257 eV per atom

=====

# CsErNiS3

A geometry-optimized CsErNiS3 structure (PBE, OQMD).

Geometry as POSCAR:
```
CsErNiS3
1.0
1.9733 -7.7109 0.0000
1.9733 7.7109 0.0000
0.0000 0.0000 10.3726
Cs Er Ni S
2 2 2 6
direct
0.2401 0.7599 0.7500
0.7599 0.2401 0.2500
0.5000 0.5000 0.0000
0.5000 0.5000 0.5000
0.0323 0.9677 0.2500
0.9677 0.0323 0.7500
0.1114 0.8886 0.0665
0.1114 0.8886 0.4335
0.4541 0.5459 0.2500
0.5459 0.4541 0.7500
0.8886 0.1114 0.5665
0.8886 0.1114 0.9335
```

**Polymorph energy (0 for the lowest one)**: 0.016 eV per atom
**Space group**: Cmcm (63)